DFT (PBE-GGA) results for a geometry-optimized Pm2Fe2BC2 structure.

**Mass density**: 7.59 g/cm3
**Crystal system**: monoclinic
**DFT formation energy**: -148 meV/atom
**Space-group type**: C2/m, No. 12

a = 3.525 Å, b = 5.406 Å, c = 5.780 Å
α = 69.97°, β = 72.24°, γ = 70.97°
Atoms (fractional coordinates):
Pm: 0.571 0.196 0.663
Pm: 0.429 0.804 0.337
Fe: 0.207 0.672 0.914
Fe: 0.793 0.328 0.086
B: 0.000 0.000 0.000
C: 0.206 0.367 0.222
C: 0.794 0.633 0.778